Cs2CaZn2O4: relaxed, PBE.

Unit cell a=7.162 b=7.162 c=6.915 alpha=106.61 beta=106.61 gamma=29.08
Sites, in units of the cell vectors:
Cs: 0.130 0.130 0.032
Cs: 0.870 0.870 0.968
Ca: 0.000 0.000 0.500
Zn: 0.329 0.329 0.526
Zn: 0.671 0.671 0.474
O: 0.201 0.201 0.628
O: 0.467 0.467 0.701
O: 0.533 0.533 0.299
O: 0.799 0.799 0.372

Properties
symmetry = C2/m (12)
formation energy from raw total energies = -14.742 eV per formula unit


SrCdP2O: relaxed, PBE.

Unit cell a=5.088 b=5.088 c=4.357 alpha=90.00 beta=90.00 gamma=90.00
Sites, in units of the cell vectors:
Sr: 0.000 0.000 0.000
Cd: 0.500 0.500 0.500
P: 0.000 0.500 0.500
P: 0.500 0.000 0.500
O: 0.500 0.500 0.000

Properties
symmetry = P4/mmm (123)
offset from the most stable computed form = 0 meV/atom
formation energy from raw total energies = 0.051 eV per formula unit


Ac2PrP3: relaxed, PBE.

Unit cell a=14.491 b=13.817 c=7.569 alpha=79.48 beta=69.63 gamma=30.90
Sites, in units of the cell vectors:
Ac: 0.042 0.042 0.208
Ac: 0.125 0.125 0.625
Ac: 0.208 0.208 0.042
Ac: 0.375 0.375 0.875
Ac: 0.625 0.625 0.125
Ac: 0.792 0.792 0.958
Ac: 0.875 0.875 0.375
Ac: 0.958 0.958 0.792
Pr: 0.292 0.292 0.458
Pr: 0.458 0.458 0.292
Pr: 0.542 0.542 0.708
Pr: 0.708 0.708 0.542
P: 0.040 0.540 0.219
P: 0.134 0.616 0.616
P: 0.219 0.702 0.040
P: 0.298 0.781 0.460
P: 0.384 0.866 0.866
P: 0.460 0.960 0.298
P: 0.540 0.040 0.702
P: 0.616 0.134 0.134
P: 0.702 0.219 0.540
P: 0.781 0.298 0.960
P: 0.866 0.384 0.384
P: 0.960 0.460 0.781

Properties
symmetry = Fddd (70)
energy relative to the elements = -1.47 eV/atom


NpBePH: relaxed, PBE.

Unit cell a=3.775 b=3.775 c=3.982 alpha=90.00 beta=90.00 gamma=120.00
Sites, in units of the cell vectors:
Np: 0.000 0.000 0.000
Be: 0.333 0.667 0.489
P: 0.667 0.333 0.527
H: 0.333 0.667 0.095

Properties
symmetry = P3m1 (156)
raw total energy = -0.5068 Ry/atom


NdBeZnPt2: relaxed, PBE.

Unit cell a=6.354 b=6.354 c=6.354 alpha=143.32 beta=143.32 gamma=52.85
Sites, in units of the cell vectors:
Nd: 0.000 0.000 0.000
Be: 0.750 0.250 0.500
Zn: 0.250 0.750 0.500
Pt: 0.379 0.379 0.000
Pt: 0.621 0.621 0.000

Properties
symmetry = I-4m2 (119)
energy relative to the elements = -0.73 eV/atom


LaGeBr2: relaxed, PBE.

Unit cell a=10.366 b=10.366 c=10.366 alpha=20.66 beta=20.66 gamma=20.66
Sites, in units of the cell vectors:
La: 0.000 0.000 0.000
Ge: 0.500 0.500 0.500
Br: 0.405 0.405 0.405
Br: 0.595 0.595 0.595

Properties
symmetry = R-3m (166)
offset from the most stable computed form = 6 meV/atom
formation energy from raw total energies = -3.246 eV per formula unit


BaLi4Y: relaxed, PBE.

Unit cell a=6.227 b=6.227 c=6.227 alpha=60.00 beta=60.00 gamma=60.00
Sites, in units of the cell vectors:
Ba: 0.000 0.000 0.000
Li: 0.134 0.622 0.622
Li: 0.622 0.134 0.622
Li: 0.622 0.622 0.134
Li: 0.622 0.622 0.622
Y: 0.250 0.250 0.250

Properties
symmetry = F-43m (216)
energy relative to the elements = 0.13 eV/atom


LiCd2Rh: relaxed, PBE.

Unit cell a=4.581 b=4.581 c=3.238 alpha=90.00 beta=90.00 gamma=90.00
Sites, in units of the cell vectors:
Li: 0.000 0.000 0.000
Cd: 0.000 0.500 0.500
Cd: 0.500 0.000 0.500
Rh: 0.500 0.500 0.000

Properties
symmetry = P4/mmm (123)
offset from the most stable computed form = 13 meV/atom
energy relative to the elements = -0.26 eV/atom